(1)
! ZnInNi2Te, relaxed, DFT GGA-PBE; values from VASP
! Magnetic moment = 0.000 μB per atom
! E_form (uncorrected) = 300.4 kJ/mol of formula units
! N(E_F) = 4.46 states/eV/cell
! Space group = P4/mmm, No. 123
&SYSTEM
  ibrav = 0, nat = 5, ntyp = 4
/
ATOMIC_SPECIES
Zn 65.41 Zn.upf
In 114.82 In.upf
Ni 58.69 Ni.upf
Te 127.60 Te.upf
ATOMIC_POSITIONS crystal
Zn 0.0000 0.0000 0.0000
In 0.0000 0.0000 0.5000
Ni 0.0000 0.5000 0.0000
Ni 0.5000 0.0000 0.0000
Te 0.5000 0.5000 0.5000
CELL_PARAMETERS angstrom
4.5688 0.0000 0.0000
0.0000 4.5688 0.0000
0.0000 0.0000 4.9237



(2)
! HoBeIr, relaxed, DFT GGA-PBE; values from VASP
! Formation enthalpy at 0 K = -0.673 eV/atom
! Magnetic moment = 0.000 μB per atom
! N(E_F) = 5.53 states/eV/cell
! Space group = Pnma, No. 62
&SYSTEM
  ibrav = 0, nat = 12, ntyp = 3
/
ATOMIC_SPECIES
Ho 164.93 Ho.upf
Be 9.01 Be.upf
Ir 192.22 Ir.upf
ATOMIC_POSITIONS crystal
Ho 0.0011 0.2500 0.1929
Ho 0.4989 0.7500 0.6929
Ho 0.5011 0.2500 0.3071
Ho 0.9989 0.7500 0.8071
Be 0.1789 0.2500 0.5918
Be 0.3211 0.7500 0.0918
Be 0.6789 0.2500 0.9082
Be 0.8211 0.7500 0.4082
Ir 0.1812 0.7500 0.4264
Ir 0.3188 0.2500 0.9264
Ir 0.6812 0.7500 0.0736
Ir 0.8188 0.2500 0.5736
CELL_PARAMETERS angstrom
6.7522 0.0000 0.0000
0.0000 4.1020 0.0000
0.0000 0.0000 7.2278



(3)
! Er3Si4Ni2, relaxed, DFT GGA-PBE; values from VASP
! Magnetic moment = 0.000 μB per atom
! E_form (uncorrected) = -720.2 kJ/mol of formula units
! N(E_F) = 4.67 states/eV/cell
! Space group = C2/m, No. 12
&SYSTEM
  ibrav = 0, nat = 9, ntyp = 3
/
ATOMIC_SPECIES
Er 167.26 Er.upf
Si 28.09 Si.upf
Ni 58.69 Ni.upf
ATOMIC_POSITIONS crystal
Er 0.0000 0.0000 0.0000
Er 0.3355 0.3355 0.3381
Er 0.6645 0.6645 0.6619
Si 0.0566 0.0566 0.3829
Si 0.2810 0.2810 0.9333
Si 0.7190 0.7190 0.0667
Si 0.9434 0.9434 0.6171
Ni 0.3922 0.3922 0.7214
Ni 0.6078 0.6078 0.2786
CELL_PARAMETERS angstrom
5.2647 -1.9799 0.0000
5.2647 1.9799 0.0000
-1.5290 0.0000 7.7890



(4)
! TbPa2Se4, relaxed, DFT GGA-PBE; values from VASP
! Magnetic moment = 0.341 μB per atom
! E_form (uncorrected) = -934.9 kJ/mol of formula units
! N(E_F) = 19.85 states/eV/cell
! Space group = Cmcm, No. 63
&SYSTEM
  ibrav = 0, nat = 14, ntyp = 3
/
ATOMIC_SPECIES
Tb 158.93 Tb.upf
Pa 231.04 Pa.upf
Se 78.96 Se.upf
ATOMIC_POSITIONS crystal
Tb 0.1090 0.8910 0.7500
Tb 0.8910 0.1090 0.2500
Pa 0.3543 0.6457 0.5626
Pa 0.3543 0.6457 0.9374
Pa 0.6457 0.3543 0.0626
Pa 0.6457 0.3543 0.4374
Se 0.0000 0.0000 0.0000
Se 0.0000 0.0000 0.5000
Se 0.2901 0.7099 0.1315
Se 0.2901 0.7099 0.3685
Se 0.4448 0.5552 0.7500
Se 0.5552 0.4448 0.2500
Se 0.7099 0.2901 0.6315
Se 0.7099 0.2901 0.8685
CELL_PARAMETERS angstrom
1.9380 -6.5774 0.0000
1.9380 6.5774 0.0000
0.0000 0.0000 14.3259



(5)
! ReP2Br, relaxed, DFT GGA-PBE; values from VASP
! Magnetic moment = 0.001 μB per atom
! E_form (uncorrected) = 454.7 kJ/mol of formula units
! N(E_F) = 4.96 states/eV/cell
! Space group = P4/mmm, No. 123
&SYSTEM
  ibrav = 0, nat = 4, ntyp = 3
/
ATOMIC_SPECIES
Re 186.21 Re.upf
P 30.97 P.upf
Br 79.90 Br.upf
ATOMIC_POSITIONS crystal
Re 0.0000 0.0000 0.0000
P 0.0000 0.5000 0.5000
P 0.5000 0.0000 0.5000
Br 0.5000 0.5000 0.0000
CELL_PARAMETERS angstrom
4.6626 0.0000 0.0000
0.0000 4.6626 0.0000
0.0000 0.0000 2.8978



(6)
! NpGe2PtRh2, relaxed, DFT GGA-PBE; values from VASP
! Formation enthalpy at 0 K = 0.093 eV/atom
! Magnetic moment = 0.628 μB per atom
! N(E_F) = 13.43 states/eV/cell
! Space group = P4/mmm, No. 123
&SYSTEM
  ibrav = 0, nat = 6, ntyp = 4
/
ATOMIC_SPECIES
Np 237.00 Np.upf
Ge 72.64 Ge.upf
Pt 195.08 Pt.upf
Rh 102.91 Rh.upf
ATOMIC_POSITIONS crystal
Np 0.0000 0.0000 0.0000
Ge 0.0000 0.5000 0.5000
Ge 0.5000 0.0000 0.5000
Pt 0.0000 0.0000 0.5000
Rh 0.5000 0.5000 0.2430
Rh 0.5000 0.5000 0.7570
CELL_PARAMETERS angstrom
4.6816 0.0000 0.0000
0.0000 4.6816 0.0000
0.0000 0.0000 5.5062



(7)
! LiHf2Cu, relaxed, DFT GGA-PBE; values from VASP
! Formation enthalpy at 0 K = 0.444 eV/atom
! Magnetic moment = 0.000 μB per atom
! N(E_F) = 6.78 states/eV/cell
! Space group = I-42d, No. 122
&SYSTEM
  ibrav = 0, nat = 8, ntyp = 3
/
ATOMIC_SPECIES
Li 6.94 Li.upf
Hf 178.49 Hf.upf
Cu 63.55 Cu.upf
ATOMIC_POSITIONS crystal
Li 0.0000 0.0000 0.0000
Li 0.7500 0.2500 0.5000
Hf 0.1542 0.6250 0.0292
Hf 0.3750 0.4042 0.5292
Hf 0.5958 0.1250 0.9708
Hf 0.8750 0.8458 0.4708
Cu 0.2500 0.7500 0.5000
Cu 0.5000 0.5000 0.0000
CELL_PARAMETERS angstrom
-3.7146 3.7146 2.7520
3.7146 -3.7146 2.7520
3.7146 3.7146 -2.7520



(8)
! FePt2Br, relaxed, DFT GGA-PBE; values from VASP
! Magnetic moment = 0.884 μB per atom
! E_form (uncorrected) = 123.2 kJ/mol of formula units
! N(E_F) = 4.74 states/eV/cell
! Space group = P4mm, No. 99
&SYSTEM
  ibrav = 0, nat = 4, ntyp = 3
/
ATOMIC_SPECIES
Fe 55.84 Fe.upf
Pt 195.08 Pt.upf
Br 79.90 Br.upf
ATOMIC_POSITIONS crystal
Fe 0.0000 0.0000 0.0000
Pt 0.0000 0.0000 0.4391
Pt 0.5000 0.5000 0.2064
Br 0.5000 0.5000 0.7940
CELL_PARAMETERS angstrom
2.9076 0.0000 0.0000
0.0000 2.9076 0.0000
0.0000 0.0000 8.2837